Density functional theory data (PBE-GGA) for an optimized crystal structure of PmMg3Cd9.

D(E_F) in states/eV per cell: 2.99
ΔH_f (0 K) in meV/atom: -165
Magnetic moment in μB per atom: 0.000

```
13
Lattice="3.005 -7.005 0.000 3.005 7.005 0.000 -2.991 0.000 6.980" Properties=species:S:1:pos:R:3 pbc="T T T"
Pm 0.000 0.000 0.000
Mg -1.495 0.000 3.490
Mg 1.502 3.503 0.000
Mg 1.502 -3.503 0.000
Cd 0.031 4.558 4.567
Cd -0.025 1.511 5.488
Cd 2.988 4.558 2.413
Cd -0.025 -1.511 5.488
Cd 1.510 0.000 3.490
Cd 3.044 1.511 1.492
Cd 0.031 -4.558 4.567
Cd 3.044 -1.511 1.492
Cd 2.988 -4.558 2.413
```

---

Density functional theory data (PBE-GGA) for an optimized crystal structure of Ca2Ge3SbPd4.

Uncorrected formation energy in meV per atom: -680.6
D(E_F) in states/eV per cell: 5.00
Magnetic moment in μB per atom: 0.000

```
10
Lattice="4.386 0.000 0.000 0.000 4.386 0.000 0.000 0.000 10.531" Properties=species:S:1:pos:R:3 pbc="T T T"
Ca 0.000 2.193 2.531
Ca 2.193 0.000 8.000
Ge 0.000 2.193 9.269
Ge 2.193 0.000 1.261
Ge 2.193 2.193 5.265
Sb 0.000 0.000 5.265
Pd 0.000 0.000 0.000
Pd 0.000 2.193 6.805
Pd 2.193 0.000 3.725
Pd 2.193 2.193 0.000
```

---

Density functional theory data (PBE-GGA) for an optimized crystal structure of DyAlMo.

D(E_F) in states/eV per cell: 10.16
ΔH_f (0 K) in meV/atom: 169
Magnetic moment in μB per atom: 0.000

```
12
Lattice="0.000 4.933 9.816 2.663 0.000 9.816 2.663 4.933 0.000" Properties=species:S:1:pos:R:3 pbc="T T T"
Dy 1.997 0.314 7.362
Dy 3.329 2.780 12.270
Dy 1.997 7.085 7.362
Dy 3.329 9.552 12.270
Al 1.997 3.700 5.483
Al 1.997 3.700 9.241
Al 3.329 6.166 10.391
Al 3.329 6.166 14.150
Mo 1.997 3.700 0.031
Mo 3.329 6.166 4.939
Mo 1.997 3.700 14.694
Mo 3.329 6.166 19.602
```

---

Density functional theory data (PBE-GGA) for an optimized crystal structure of Ho2Rh2Au.

D(E_F) in states/eV per cell: 4.78
ΔH_f (0 K) in meV/atom: -833
Magnetic moment in μB per atom: 0.000

```
10
Lattice="7.312 0.000 0.000 0.000 7.312 0.000 0.000 0.000 3.770" Properties=species:S:1:pos:R:3 pbc="T T T"
Ho 1.252 2.404 0.000
Ho 2.404 6.060 0.000
Ho 4.908 1.252 0.000
Ho 6.060 4.908 0.000
Rh 0.971 4.627 1.885
Rh 2.686 0.971 1.885
Rh 4.627 6.342 1.885
Rh 6.342 2.686 1.885
Au 0.000 0.000 1.885
Au 3.656 3.656 1.885
```

---

Density functional theory data (PBE-GGA) for an optimized crystal structure of La4BPb2.

D(E_F) in states/eV per cell: 4.66
ΔH_f (0 K) in meV/atom: -368
Magnetic moment in μB per atom: 0.000

```
7
Lattice="-2.574 2.574 8.697 2.574 -2.574 8.697 2.574 2.574 -8.697" Properties=species:S:1:pos:R:3 pbc="T T T"
La 2.574 0.000 0.000
La 0.000 0.000 2.927
La 0.000 2.574 0.000
La 0.000 0.000 14.468
B 0.000 0.000 0.000
Pb 0.000 0.000 6.276
Pb 0.000 0.000 11.119
```

---

Density functional theory data (PBE-GGA) for an optimized crystal structure of Sc2Ga2Pd.

Energy above the most stable polymorph in this dataset in meV/atom: 0.0
D(E_F) in states/eV per cell: 7.98
ΔH_f (0 K) in meV/atom: -747
Magnetic moment in μB per atom: 0.000

```
10
Lattice="6.726 0.000 0.000 0.000 6.726 0.000 0.000 0.000 4.054" Properties=species:S:1:pos:R:3 pbc="T T T"
Sc 1.138 2.225 0.000
Sc 2.225 5.587 0.000
Sc 4.501 1.138 0.000
Sc 5.587 4.501 0.000
Ga 0.904 4.267 2.027
Ga 2.459 0.904 2.027
Ga 4.267 5.821 2.027
Ga 5.821 2.459 2.027
Pd 0.000 0.000 2.027
Pd 3.363 3.363 2.027
```